Below is crystalline LaNi3Ge at its relaxed geometry, with properties calculated at the PBE-GGA level.

a = 5.4428 Å, b = 7.2981 Å, c = 4.5322 Å
α = 90.00°, β = 90.00°, γ = 90.00°
Space group Cmmm (No. 65)
One atom of each set of equivalent atoms:
La1 0.0000 0.0000 0.0000 [2 per cell]
Ni1 0.0000 0.5000 0.0000 [2 per cell]
Ni2 0.2500 0.2500 0.5000 [4 per cell]
Ge1 0.0000 0.5000 0.5000 [2 per cell]

Results
* excess energy over the best structure of this formula in the dataset: 0.000 eV per formula unit

Below is crystalline PuThMg2 at its relaxed geometry, with properties calculated at the PBE-GGA level.

a = 4.6123 Å, b = 4.6123 Å, c = 5.0452 Å
α = 90.00°, β = 90.00°, γ = 90.00°
Space group P4/mmm (No. 123)
One atom of each set of equivalent atoms:
Pu1 0.0000 0.0000 0.0000 [1 per cell]
Th1 0.5000 0.5000 0.0000 [1 per cell]
Mg1 0.0000 0.5000 0.5000 [2 per cell]

Quick rundown of total magnetic moment, same order as above: 0.00, 6.48 μB/cell
Quick rundown of E_form, same order as above: -18, 14 kJ per mole of atoms
Quick rundown of DFT total energy, same order as above: -5.57, -6.09 eV per atom